[1]
This record from Alexandria describes crystalline Pm3NdN3 at its relaxed geometry. The functional is PBE.

Computed properties:
Its energy above the most stable polymorph in this dataset is 0.0 kJ per mole of atoms. As for the uncorrected formation energy: -8.1 eV per formula unit. Its density of states at the Fermi level is 3.0 states/eV/cell. For the raw total energy, the calculation gives -7.44 eV/atom.

a = 5.122 Å, b = 5.122 Å, c = 5.122 Å
α = 90.00°, β = 90.00°, γ = 90.00°
Fractional coordinates of all 7 atoms:
Pm 0.000 0.000 0.500
Pm 0.000 0.500 0.000
Pm 0.500 0.000 0.000
Nd 0.500 0.500 0.500
N 0.000 0.500 0.500
N 0.500 0.000 0.500
N 0.500 0.500 0.000


[2]
This record from Alexandria describes crystalline Te2AuCl at its relaxed geometry. The functional is PBE.

Computed properties:
As for the uncorrected formation energy: 0.0 eV per formula unit. Its density of states at the Fermi level is 1.5 states/eV/cell. For the raw total energy, the calculation gives -2.85 eV/atom.

a = 5.719 Å, b = 5.719 Å, c = 3.240 Å
α = 90.97°, β = 90.97°, γ = 90.11°
Fractional coordinates of all 4 atoms:
Te 0.000 0.500 0.000
Te 0.500 0.000 0.000
Au 0.000 0.000 0.000
Cl 0.500 0.500 0.000


Among the records above, which one has the highest raw total energy? Te2AuCl


raw total energy of number 1 (Pm3NdN3)? -7.44 eV/atom


What is the raw total energy in the second record? -2.85 eV/atom


The highest raw total energy belongs to which entry? Te2AuCl